[1]
## NiSb3Ru (PBE)

Data for a relaxed NiSb3Ru crystal.

a b c (Å): 5.0727 5.0727 5.0727
angles (deg): 90.00 90.00 90.00
Last column: nearest neighbours and their distance in Å.
Element x y z (fractional)
Ni: 0.0000 0.0000 0.0000  12 Sb 3.59
Sb: 0.0000 0.5000 0.5000  2 Ru 2.54
Sb: 0.5000 0.0000 0.5000  2 Ru 2.54
Sb: 0.5000 0.5000 0.0000  2 Ru 2.54
Ru: 0.5000 0.5000 0.5000  6 Sb 2.54

SG: No. 221
ΔE_f (raw): 0.792 eV/atom
ΔE to the lowest computed polymorph: 14 meV/atom
V: 26.11 Å³ per atom
Fermi-level density of states: 3.8 states/eV per cell



[2]
## NiHgPt2 (PBE)

Data for a relaxed NiHgPt2 crystal.

a b c (Å): 4.8665 4.8665 4.8665
angles (deg): 131.42 131.42 71.15
Last column: nearest neighbours and their distance in Å.
Element x y z (fractional)
Ni: 0.0000 0.0000 0.0000  8 Pt 2.82, 4 Hg 2.83
Hg: 0.5000 0.5000 0.0000  8 Pt 2.82, 4 Ni 2.83
Pt: 0.2500 0.7500 0.5000  4 Hg 2.82, 4 Ni 2.82, 4 Pt 2.83
Pt: 0.7500 0.2500 0.5000  4 Hg 2.82, 4 Ni 2.82, 4 Pt 2.83

SG: No. 139
V: 15.86 Å³ per atom
Fermi-level density of states: 5.4 states/eV per cell
calculated total energy: -17.9 eV for the cell shown



[3]
## B2AsS6 (PBE)

Data for a relaxed B2AsS6 crystal.

a b c (Å): 8.3541 8.3541 6.0390
angles (deg): 90.88 90.88 69.21
Last column: nearest neighbours and their distance in Å.
Element x y z (fractional)
B: 0.1646 0.2976 0.1104  4 S 1.88-1.97
B: 0.2976 0.1646 0.6104  4 S 1.88-1.97
B: 0.7024 0.8354 0.3896  4 S 1.88-1.97
B: 0.8354 0.7024 0.8896  4 S 1.88-1.97
As: 0.0972 0.9028 0.2500  4 S 2.36-2.59
As: 0.9028 0.0972 0.7500  4 S 2.36-2.59
S: 0.0017 0.8120 0.8741  1 B 1.92
S: 0.0883 0.5068 0.2670  1 B 1.88
S: 0.1880 0.9983 0.6259  1 B 1.92
S: 0.2155 0.3556 0.8116  2 B 1.92-1.97
S: 0.3556 0.2155 0.3116  2 B 1.92-1.97
S: 0.4932 0.9117 0.2330  1 B 1.88
S: 0.5068 0.0883 0.7670  1 B 1.88
S: 0.6444 0.7845 0.6884  2 B 1.92-1.97
S: 0.7845 0.6444 0.1884  2 B 1.92-1.97
S: 0.8120 0.0017 0.3741  1 B 1.92
S: 0.9117 0.4932 0.7330  1 B 1.88
S: 0.9983 0.1880 0.1259  1 B 1.92

SG: No. 15
ΔE_f (raw): -0.067 eV/atom
V: 21.89 Å³ per atom
Fermi-level density of states: 4.6 states/eV per cell